DFT (GGA-PBE) results for a relaxed PdPt6Rh3 crystal.

a = 5.009 Å, b = 8.318 Å, c = 8.318 Å
α = 112.57°, β = 90.00°, γ = 90.00°
Fractional positions:
Pt1 0.376 0.040 0.463
Pt2 0.112 0.819 0.181
Pt3 0.182 0.599 0.693
Pt4 0.682 0.693 0.599
Pt5 0.941 0.030 0.970
Pt6 0.182 0.307 0.401
Pt7 0.612 0.181 0.819
Pt8 0.876 0.463 0.040
Pt9 0.441 0.970 0.030
Pt10 0.876 0.960 0.537
Pt11 0.682 0.401 0.307
Pt12 0.376 0.537 0.960
Pd1 0.108 0.271 0.729
Pd2 0.608 0.729 0.271
Rh1 0.783 0.091 0.297
Rh2 0.142 0.622 0.378
Rh3 0.283 0.297 0.091
Rh4 0.642 0.378 0.622
Rh5 0.783 0.703 0.909
Rh6 0.283 0.909 0.703

Results
The space group is No. 36. The formation energy from the elements is 2.08 eV per formula unit.


DFT (GGA-PBE) results for a relaxed PdPt8Rh4 crystal.

a = 3.916 Å, b = 4.816 Å, c = 12.758 Å
α = 63.82°, β = 81.17°, γ = 65.96°
Fractional positions:
Pt1 0.976 0.468 0.581
Pt2 0.283 0.776 0.658
Pt3 0.441 0.922 0.197
Pt4 0.056 0.535 0.353
Pt5 0.823 0.310 0.044
Pt6 0.591 0.082 0.736
Pt7 0.208 0.693 0.890
Pt8 0.748 0.228 0.276
Rh1 0.670 0.156 0.504
Rh2 0.133 0.612 0.122
Rh3 0.362 0.847 0.430
Rh4 0.899 0.391 0.811
Pd1 0.516 0.002 0.967

Results
The space group is No. 12. The formation energy from the elements is -0.28 eV per formula unit.


DFT (GGA-PBE) results for a relaxed Pd6PtRh crystal.

a = 5.245 Å, b = 5.245 Å, c = 7.397 Å
α = 69.23°, β = 69.23°, γ = 60.00°
Each line ends with the local moment (μB).
Fractional positions:
Pd1 0.934 0.934 0.693  0.15
Pd2 0.066 0.066 0.307  0.15
Pd3 0.934 0.440 0.693  0.15
Pd4 0.066 0.560 0.307  0.15
Pd5 0.560 0.066 0.307  0.15
Pd6 0.440 0.934 0.693  0.15
Pt1 0.000 0.000 0.000  0.06
Rh1 0.500 0.500 0.500  1.28

Results
The space group is No. 166. Its energy above the lowest structure with this stoichiometry is 547 meV/atom. The formation energy from the elements is 4.59 eV per formula unit.


DFT (GGA-PBE) results for a relaxed PdPt4Rh3 crystal.

a = 3.914 Å, b = 3.914 Å, c = 9.992 Å
α = 125.90°, β = 101.29°, γ = 90.00°
Fractional positions:
Pd1 0.500 0.000 0.000
Pt1 0.873 0.619 0.746
Pt2 0.127 0.381 0.254
Pt3 0.627 0.880 0.253
Pt4 0.373 0.120 0.747
Rh1 0.000 0.500 0.000
Rh2 0.249 0.248 0.499
Rh3 0.751 0.752 0.501

Results
The space group is No. 12. Its energy above the lowest structure with this stoichiometry is 0 meV/atom. The formation energy from the elements is -0.11 eV per formula unit.


| no. | uncorrected energy (eV per cell) |
| --- | --- |
| 1 | -122.82 |
| 2 | -83.20 |
| 3 | -39.96 |
| 4 | -51.52 |